one.
Compound: TlFe3As
Source: Alexandria
Functional: GGA-PBE
Structure: relaxed

Computed properties:
Crystal system: cubic

Cell: 4.5335 4.5335 4.5335 Å, 90.00 90.00 90.00°
Fractional positions:
Tl  0.0000  0.0000  0.0000
Fe  0.0000  0.5000  0.5000
Fe  0.5000  0.0000  0.5000
Fe  0.5000  0.5000  0.0000
As  0.5000  0.5000  0.5000

two.
Compound: TlFe3As
Source: Alexandria
Functional: GGA-PBE
Structure: relaxed

Computed properties:
Crystal system: cubic

Cell: 4.8456 4.8456 4.8456 Å, 90.00 90.00 90.00°
Fractional positions:
Tl  0.0000  0.0000  0.0000
Fe  0.0000  0.0000  0.5000
Fe  0.0000  0.5000  0.0000
Fe  0.5000  0.0000  0.0000
As  0.5000  0.5000  0.5000

The most stable of them is one.

one.
Compound: UFeAs2
Source: Alexandria
Functional: GGA-PBE
Structure: relaxed

Computed properties:
Crystal system: tetragonal

Cell: 9.1104 9.1104 9.1104 Å, 154.31 154.31 36.64°
Fractional positions:
U  0.1240  0.1240  0.0000
U  0.8760  0.8760  0.0000
Fe  0.2500  0.7500  0.5000
Fe  0.7500  0.2500  0.5000
As  0.0000  0.5000  0.5000
As  0.3295  0.3295  0.0000
As  0.5000  0.0000  0.5000
As  0.6705  0.6705  0.0000

two.
Compound: UFeAs2
Source: Alexandria
Functional: GGA-PBE
Structure: relaxed

Computed properties:
Crystal system: trigonal

Cell: 7.8426 7.8426 7.8426 Å, 31.37 31.37 31.37°
Fractional positions:
U  0.0000  0.0000  0.0000
Fe  0.5000  0.5000  0.5000
As  0.3960  0.3960  0.3960
As  0.6040  0.6040  0.6040

three.
Compound: UFeAs2
Source: Alexandria
Functional: GGA-PBE
Structure: relaxed

Computed properties:
Crystal system: orthorhombic

Cell: 7.1227 4.1342 9.7802 Å, 90.00 90.00 90.00°
Fractional positions:
U  0.2415  0.2500  0.1762
U  0.2585  0.7500  0.6762
U  0.7415  0.2500  0.3238
U  0.7585  0.7500  0.8238
Fe  0.1314  0.2500  0.8672
Fe  0.3686  0.7500  0.3672
Fe  0.6314  0.2500  0.6328
Fe  0.8686  0.7500  0.1328
As  0.0359  0.7500  0.3444
As  0.1392  0.7500  0.9774
As  0.3608  0.2500  0.4774
As  0.4641  0.2500  0.8444
As  0.5359  0.7500  0.1556
As  0.6392  0.7500  0.5226
As  0.8608  0.2500  0.0226
As  0.9641  0.2500  0.6556

The most stable of them is one.

one.
Compound: VFeAs2
Source: Alexandria
Functional: GGA-PBE
Structure: relaxed

Computed properties:
Crystal system: tetragonal

Cell: 6.8262 6.8262 6.8262 Å, 133.09 133.09 68.51°
Fractional positions:
V  0.0000  0.0000  0.0000
V  0.7500  0.2500  0.5000
Fe  0.2500  0.7500  0.5000
Fe  0.5000  0.5000  0.0000
As  0.1444  0.6250  0.0194
As  0.3750  0.3944  0.5194
As  0.6056  0.1250  0.9806
As  0.8750  0.8556  0.4806

two.
Compound: VFeAs2
Source: Alexandria
Functional: GGA-PBE
Structure: relaxed

Computed properties:
Crystal system: cubic

Cell: 4.2671 4.2671 4.2671 Å, 60.00 60.00 60.00°
Fractional positions:
V  0.0000  0.0000  0.0000
Fe  0.5000  0.5000  0.5000
As  0.2500  0.2500  0.2500
As  0.7500  0.7500  0.7500

The most stable of them is two.

one.
Compound: VFeAs2
Source: Alexandria
Functional: GGA-PBE
Structure: relaxed

Computed properties:
Crystal system: trigonal

Cell: 5.6148 5.6148 5.6148 Å, 38.07 38.07 38.07°
Fractional positions:
V  0.0000  0.0000  0.0000
Fe  0.5000  0.5000  0.5000
As  0.2407  0.2407  0.2407
As  0.7593  0.7593  0.7593

two.
Compound: VFeAs2
Source: Alexandria
Functional: GGA-PBE
Structure: relaxed

Computed properties:
Crystal system: orthorhombic

Cell: 3.3418 6.1748 5.6305 Å, 90.00 90.00 90.00°
Fractional positions:
V  0.0000  0.0526  0.0000
V  0.0000  0.9474  0.5000
Fe  0.5000  0.4374  0.9893
Fe  0.5000  0.5626  0.4893
As  0.0000  0.3355  0.6930
As  0.0000  0.6645  0.1930
As  0.5000  0.1860  0.3033
As  0.5000  0.8140  0.8033

The most stable of them is two.

one.
Compound: YFeAs2
Source: Alexandria
Functional: GGA-PBE
Structure: relaxed

Computed properties:
Crystal system: cubic

Cell: 4.7400 4.7400 4.7400 Å, 60.00 60.00 60.00°
Fractional positions:
Y  0.0000  0.0000  0.0000
Fe  0.2500  0.2500  0.2500
As  0.5000  0.5000  0.5000
As  0.7500  0.7500  0.7500

two.
Compound: YFeAs2
Source: Alexandria
Functional: GGA-PBE
Structure: relaxed

Computed properties:
Crystal system: monoclinic

Cell: 3.8671 4.6515 4.6333 Å, 90.00 90.05 90.00°
Fractional positions:
Y  0.0000  0.0000  0.0000
Fe  0.4977  0.5000  0.6585
As  0.4998  0.0000  0.5009
As  0.5000  0.5000  0.1453

The most stable of them is two.

one.
Compound: Y2Fe2As
Source: Alexandria
Functional: GGA-PBE
Structure: relaxed

Computed properties:
Crystal system: tetragonal

Cell: 5.2021 5.2021 5.2021 Å, 117.41 117.41 94.55°
Fractional positions:
Y  0.2500  0.7500  0.5000
Y  0.7500  0.2500  0.5000
Fe  0.1638  0.1638  0.0000
Fe  0.8362  0.8362  0.0000
As  0.5000  0.5000  0.0000

two.
Compound: Y2Fe2As
Source: Alexandria
Functional: GGA-PBE
Structure: relaxed

Computed properties:
Crystal system: tetragonal

Cell: 6.5420 6.5420 4.2673 Å, 90.00 90.00 90.00°
Fractional positions:
Y  0.1827  0.3173  0.0000
Y  0.3173  0.8173  0.0000
Y  0.6827  0.1827  0.0000
Y  0.8173  0.6827  0.0000
Fe  0.1145  0.6145  0.5000
Fe  0.3855  0.1145  0.5000
Fe  0.6145  0.8855  0.5000
Fe  0.8855  0.3855  0.5000
As  0.0000  0.0000  0.5000
As  0.5000  0.5000  0.5000

The most stable of them is two.

one.
Compound: ZnFeAs
Source: Alexandria
Functional: GGA-PBE
Structure: relaxed

Computed properties:
Crystal system: tetragonal

Cell: 5.9647 5.9647 5.9647 Å, 152.34 152.34 39.51°
Fractional positions:
Zn  0.0000  0.0000  0.0000
Fe  0.3576  0.3576  0.0000
As  0.7387  0.7387  0.0000

two.
Compound: ZnFeAs
Source: Alexandria
Functional: GGA-PBE
Structure: relaxed

Computed properties:
Crystal system: cubic

Cell: 4.1078 4.1078 4.1078 Å, 60.00 60.00 60.00°
Fractional positions:
Zn  0.0000  0.0000  0.0000
Fe  0.5000  0.5000  0.5000
As  0.2500  0.2500  0.2500

The most stable of them is one.

one.
Compound: ZnFeAs
Source: Alexandria
Functional: GGA-PBE
Structure: relaxed

Computed properties:
Crystal system: trigonal

Cell: 2.9351 2.9351 6.0548 Å, 90.00 90.00 120.00°
Fractional positions:
Zn  0.0000  0.0000  0.0000
Fe  0.3333  0.6667  0.6822
As  0.6667  0.3333  0.4113

two.
Compound: ZnFeAs
Source: Alexandria
Functional: GGA-PBE
Structure: relaxed

Computed properties:
Crystal system: orthorhombic

Cell: 5.7819 5.7819 6.0636 Å, 90.00 90.00 151.30°
Fractional positions:
Zn  0.0066  0.9934  0.5000
Zn  0.9934  0.0066  0.0000
Fe  0.3633  0.6367  0.2541
Fe  0.6367  0.3633  0.7541
As  0.2429  0.7571  0.9629
As  0.7571  0.2429  0.4629

three.
Compound: ZnFeAs
Source: Alexandria
Functional: GGA-PBE
Structure: relaxed

Computed properties:
Crystal system: hexagonal

Cell: 3.9247 3.9247 3.2860 Å, 90.00 90.00 120.00°
Fractional positions:
Zn  0.0000  0.0000  0.0000
Fe  0.3333  0.6667  0.5000
As  0.6667  0.3333  0.5000

The most stable of them is two.